DFT (PBE with a Hubbard U) results for a geometry-optimized KMo3O8 structure.

Unit cell a=5.6666 b=5.6666 c=7.8545 alpha=90.33 beta=90.33 gamma=63.87
Atoms (fractional coordinates):
K1 0.0000 0.0000 0.0000
Mo1 0.0000 0.0000 0.5000
Mo2 0.3563 0.3563 0.7192
Mo3 0.6437 0.6437 0.2808
O1 0.2100 0.7121 0.6893
O2 0.2118 0.2118 0.5736
O3 0.2879 0.7900 0.3107
O4 0.2968 0.2968 0.9290
O5 0.7032 0.7032 0.0710
O6 0.7121 0.2100 0.6893
O7 0.7882 0.7882 0.4264
O8 0.7900 0.2879 0.3107

Properties
* electronic total energy: -6.92 eV per atom
* N(E_F): 0.00 states/eV/f.u.